# 1
Compound: VHgTe2I
Source: Alexandria via LeMat-Bulk
Functional: PBE
Structure: relaxed

Cell lengths 5.603, 5.603, 5.876 Å; angles 90.00, 90.00, 90.00 degrees
Element x y z (fractional)
1 V 0.500 0.500 0.500
2 I 0.000 0.000 0.500
3 Te 0.500 0.000 0.000
4 Te 0.000 0.500 0.000
5 Hg 0.000 0.000 0.000

Summary:
- Crystal system: tetragonal
- ρ: 5.703 g/cm3
- Formation energy (no corrections): 904 meV per atom
- Offset from the most stable computed form: 821 meV per atom
- E: -12.7 eV/cell


# 2
Compound: HgTeWI2
Source: Alexandria via LeMat-Bulk
Functional: PBE
Structure: relaxed

Cell lengths 5.719, 5.719, 5.817 Å; angles 90.00, 90.00, 90.00 degrees
Element x y z (fractional)
1 I 0.000 0.500 0.000
2 I 0.500 0.000 0.000
3 Te 0.000 0.000 0.500
4 W 0.500 0.500 0.500
5 Hg 0.000 0.000 0.000

Summary:
- Crystal system: tetragonal
- ρ: 6.685 g/cm3
- Formation energy (no corrections): 1513 meV per atom
- Offset from the most stable computed form: 1081 meV per atom
- E: -11.9 eV/cell


# 3
Compound: HgTeWI2
Source: Alexandria via LeMat-Bulk
Functional: PBE
Structure: relaxed

Cell lengths 5.724, 5.724, 5.232 Å; angles 90.00, 90.00, 90.00 degrees
Element x y z (fractional)
1 Hg 0.500 0.500 0.500
2 W 0.000 0.000 0.000
3 Te 0.000 0.000 0.500
4 I 0.500 0.000 0.000
5 I 0.000 0.500 0.000

Summary:
- Crystal system: tetragonal
- ρ: 7.420 g/cm3
- Formation energy (no corrections): 432 meV per atom
- Offset from the most stable computed form: 0 meV per atom
- E: -17.3 eV/cell


# 4
Compound: ZnHgTe2I
Source: Alexandria via LeMat-Bulk
Functional: PBE
Structure: relaxed

Cell lengths 5.392, 5.392, 5.644 Å; angles 90.00, 90.00, 90.00 degrees
Element x y z (fractional)
1 Te 0.500 0.000 0.000
2 Te 0.000 0.500 0.000
3 I 0.000 0.000 0.500
4 Zn 0.000 0.000 0.000
5 Hg 0.500 0.500 0.500

Summary:
- Crystal system: tetragonal
- ρ: 6.558 g/cm3
- Formation energy (no corrections): 277 meV per atom
- Offset from the most stable computed form: 0 meV per atom
- E: -8.0 eV/cell


# 5
Compound: ZnHgTe2I
Source: Alexandria via LeMat-Bulk
Functional: PBE
Structure: relaxed

Cell lengths 5.688, 5.688, 5.913 Å; angles 90.00, 90.00, 90.00 degrees
Element x y z (fractional)
1 I 0.000 0.000 0.500
2 Te 0.500 0.000 0.000
3 Te 0.000 0.500 0.000
4 Zn 0.500 0.500 0.500
5 Hg 0.000 0.000 0.000

Summary:
- Crystal system: tetragonal
- ρ: 5.625 g/cm3
- Formation energy (no corrections): 578 meV per atom
- Offset from the most stable computed form: 301 meV per atom
- E: -6.5 eV/cell


# 6
Compound: ZrHgTeI2
Source: Alexandria via LeMat-Bulk
Functional: PBE
Structure: relaxed

Cell lengths 5.865, 5.865, 5.577 Å; angles 90.00, 90.00, 90.00 degrees
Element x y z (fractional)
1 Hg 0.500 0.500 0.500
2 I 0.500 0.000 0.000
3 I 0.000 0.500 0.000
4 Te 0.000 0.000 0.500
5 Zr 0.000 0.000 0.000

Summary:
- Crystal system: tetragonal
- ρ: 5.828 g/cm3
- Formation energy (no corrections): -440 meV per atom
- Offset from the most stable computed form: 0 meV per atom
- E: -17.3 eV/cell


# 7
Compound: ZrHgTeI2
Source: Alexandria via LeMat-Bulk
Functional: PBE
Structure: relaxed

Cell lengths 5.730, 5.730, 5.724 Å; angles 90.00, 90.00, 90.00 degrees
Element x y z (fractional)
1 Zr 0.500 0.500 0.500
2 I 0.500 0.000 0.000
3 I 0.000 0.500 0.000
4 Te 0.000 0.000 0.500
5 Hg 0.000 0.000 0.000

Summary:
- Crystal system: tetragonal
- ρ: 5.949 g/cm3
- Formation energy (no corrections): 630 meV per atom
- Offset from the most stable computed form: 1070 meV per atom
- E: -11.9 eV/cell


# 8
Compound: ThHgI3
Source: Alexandria via LeMat-Bulk
Functional: PBE
Structure: relaxed

Cell lengths 6.171, 6.171, 6.171 Å; angles 90.00, 90.00, 90.00 degrees
Element x y z (fractional)
1 I 0.000 0.500 0.000
2 I 0.000 0.000 0.500
3 I 0.500 0.000 0.000
4 Th 0.000 0.000 0.000
5 Hg 0.500 0.500 0.500

Summary:
- Crystal system: cubic
- ρ: 5.748 g/cm3
- Formation energy (no corrections): -733 meV per atom
- E: -16.0 eV/cell


# 9
Compound: ThTlHg2I6
Source: Alexandria via LeMat-Bulk
Functional: PBE
Structure: relaxed

Cell lengths 8.320, 8.321, 9.547 Å; angles 64.15, 64.15, 59.98 degrees
Element x y z (fractional)
1 Hg 0.006 0.006 0.982
2 Hg 0.520 0.519 0.441
3 I 0.579 0.211 0.224
4 I 0.408 0.708 0.792
5 I 0.210 0.986 0.225
6 I 0.986 0.578 0.225
7 I 0.090 0.409 0.793
8 I 0.708 0.090 0.793
9 Th 0.331 0.331 0.006
10 Tl 0.822 0.823 0.532

Summary:
- Crystal system: triclinic
- ρ: 5.370 g/cm3
- Formation energy (no corrections): -692 meV per atom
- E: -26.6 eV/cell


# 10
Compound: ThTl2Hg2I6
Source: Alexandria via LeMat-Bulk
Functional: PBE
Structure: relaxed

Cell lengths 8.637, 8.637, 9.927 Å; angles 99.20, 99.20, 120.79 degrees
Element x y z (fractional)
1 Tl 0.332 0.668 0.500
2 Tl 0.668 0.332 0.500
3 Hg 0.184 0.816 0.000
4 Hg 0.816 0.184 0.000
5 I 0.225 0.225 0.311
6 I 0.072 0.363 0.691
7 I 0.363 0.072 0.691
8 I 0.637 0.928 0.309
9 I 0.928 0.637 0.309
10 I 0.775 0.775 0.689
11 Th 0.000 0.000 0.500

Summary:
- Crystal system: monoclinic
- ρ: 4.975 g/cm3
- Formation energy (no corrections): -795 meV per atom
- E: -30.8 eV/cell


# 11
Compound: TiHgI6
Source: Alexandria via LeMat-Bulk
Functional: PBE
Structure: relaxed

Cell lengths 7.254, 7.416, 8.407 Å; angles 59.70, 57.73, 63.34 degrees
Element x y z (fractional)
1 I 0.922 0.573 0.252
2 I 0.606 0.209 0.224
3 I 0.394 0.791 0.776
4 I 0.078 0.427 0.748
5 I 0.200 0.945 0.221
6 I 0.800 0.055 0.779
7 Ti 0.000 0.000 0.000
8 Hg 0.500 0.500 0.500

Summary:
- Crystal system: triclinic
- ρ: 5.240 g/cm3
- Formation energy (no corrections): -459 meV per atom
- Offset from the most stable computed form: 0 meV per atom
- E: -21.2 eV/cell


# 12
Compound: TiHgI6
Source: Alexandria via LeMat-Bulk
Functional: PBE
Structure: relaxed

Cell lengths 8.164, 7.402, 7.606 Å; angles 101.14, 105.70, 123.14 degrees
Element x y z (fractional)
1 I 0.721 0.434 0.000
2 I 0.279 0.566 0.000
3 I 0.418 0.160 0.308
4 I 0.582 0.840 0.692
5 I 0.110 0.851 0.692
6 I 0.890 0.149 0.308
7 Ti 0.500 0.000 0.000
8 Hg 0.000 0.000 0.000

Summary:
- Crystal system: monoclinic
- ρ: 4.996 g/cm3
- Formation energy (no corrections): -443 meV per atom
- Offset from the most stable computed form: 16 meV per atom
- E: -21.0 eV/cell


# 13
Compound: TiHgI4
Source: Alexandria via LeMat-Bulk
Functional: PBE
Structure: relaxed

Cell lengths 8.125, 8.589, 10.691 Å; angles 90.00, 117.04, 90.00 degrees
Element x y z (fractional)
1 I 0.814 0.990 0.109
2 I 0.437 0.250 0.683
3 I 0.814 0.510 0.109
4 I 0.186 0.010 0.891
5 I 0.186 0.490 0.891
6 I 0.140 0.750 0.480
7 I 0.860 0.250 0.520
8 I 0.563 0.750 0.317
9 Ti 0.833 0.750 0.256
10 Ti 0.167 0.250 0.744
11 Hg 0.697 0.750 0.747
12 Hg 0.303 0.250 0.253

Summary:
- Crystal system: monoclinic
- ρ: 3.779 g/cm3
- Formation energy (no corrections): -600 meV per atom
- E: -36.0 eV/cell


For the records above, the corresponding magnetic moment values read 2.7, 4.0, 1.7, 0.0, 0.0, 0.0, 1.9, 0.0, 0.0, 0.0, 0.0, 0.0, 0.0 μB/f.u..